Record 1
First-principles (PBE) data for a geometry-optimized BePRh structure, as listed in Alexandria via LeMat-Bulk.

```
data_BePRh
_chemical_formula_sum 'Be6 P6 Rh6'
_space_group_name_H-M_alt 'R -3 m'
_space_group_IT_number 166
_space_group_name_Hall '-R 3 2"'
_cell_length_a 3.5503
_cell_length_b 3.5503
_cell_length_c 21.6956
_cell_angle_alpha 90.00
_cell_angle_beta 90.00
_cell_angle_gamma 120.00
loop_
_atom_site_label
_atom_site_type_symbol
_atom_site_fract_x
_atom_site_fract_y
_atom_site_fract_z
Be1 Be 0.0000 0.0000 0.1106
P1 P 0.0000 0.0000 0.3931
Rh1 Rh 0.0000 0.0000 0.0000
Rh2 Rh 0.0000 0.0000 0.5000
```

Properties
DFT formation energy (kcal/mol of atoms): -10.36

Record 2
First-principles (PBE) data for a geometry-optimized BeP4Rh structure, as listed in Alexandria via LeMat-Bulk.

```
data_BeP4Rh
_chemical_formula_sum 'Be4 P16 Rh4'
_space_group_name_H-M_alt 'F -4 3 m'
_space_group_IT_number 216
_space_group_name_Hall 'F -4 2 3'
_cell_length_a 6.9623
_cell_length_b 6.9623
_cell_length_c 6.9623
_cell_angle_alpha 90.00
_cell_angle_beta 90.00
_cell_angle_gamma 90.00
loop_
_atom_site_label
_atom_site_type_symbol
_atom_site_fract_x
_atom_site_fract_y
_atom_site_fract_z
Be1 Be 0.0000 0.0000 0.0000
P1 P 0.1276 0.1276 0.6276
Rh1 Rh 0.2500 0.2500 0.2500
```

Properties
DFT formation energy (kcal/mol of atoms): 17.31

Record 3
First-principles (PBE) data for a geometry-optimized BePRh structure, as listed in Alexandria via LeMat-Bulk.

```
data_BePRh
_chemical_formula_sum 'Be4 P4 Rh4'
_space_group_name_H-M_alt 'C 2 2 21'
_space_group_IT_number 20
_space_group_name_Hall 'C 2c 2'
_cell_length_a 5.0295
_cell_length_b 6.3497
_cell_length_c 4.7249
_cell_angle_alpha 90.00
_cell_angle_beta 90.00
_cell_angle_gamma 90.00
loop_
_atom_site_label
_atom_site_type_symbol
_atom_site_fract_x
_atom_site_fract_y
_atom_site_fract_z
Be1 Be 0.0000 0.1983 0.2500
P1 P 0.0000 0.2057 0.7500
Rh1 Rh 0.1775 0.5000 0.5000
```

Properties
DFT formation energy (kcal/mol of atoms): -11.02

Record 4
First-principles (PBE) data for a geometry-optimized BePRh structure, as listed in Alexandria via LeMat-Bulk.

```
data_BePRh
_chemical_formula_sum 'Be4 P4 Rh4'
_space_group_name_H-M_alt 'C m c 21'
_space_group_IT_number 36
_space_group_name_Hall 'C 2c -2'
_cell_length_a 3.3233
_cell_length_b 7.8658
_cell_length_c 5.5135
_cell_angle_alpha 90.00
_cell_angle_beta 90.00
_cell_angle_gamma 90.00
loop_
_atom_site_label
_atom_site_type_symbol
_atom_site_fract_x
_atom_site_fract_y
_atom_site_fract_z
Be1 Be 0.0000 0.1454 0.0000
P1 P 0.0000 0.1410 0.3857
Rh1 Rh 0.0000 0.4230 0.1941
```

Properties
DFT formation energy (kcal/mol of atoms): -9.73

Record 5
First-principles (PBE) data for a geometry-optimized BePRh structure, as listed in Alexandria via LeMat-Bulk.

```
data_BePRh
_chemical_formula_sum 'Be2 P2 Rh2'
_space_group_name_H-M_alt 'I 4 m m'
_space_group_IT_number 107
_space_group_name_Hall 'I 4 -2'
_cell_length_a 3.1564
_cell_length_b 3.1564
_cell_length_c 7.0945
_cell_angle_alpha 90.00
_cell_angle_beta 90.00
_cell_angle_gamma 90.00
loop_
_atom_site_label
_atom_site_type_symbol
_atom_site_fract_x
_atom_site_fract_y
_atom_site_fract_z
Be1 Be 0.0000 0.0000 0.0000
P1 P 0.0000 0.0000 0.3215
Rh1 Rh 0.0000 0.0000 0.6654
```

Properties
DFT formation energy (kcal/mol of atoms): -8.38

Record 6
First-principles (PBE) data for a geometry-optimized BeP2Rh2 structure, as listed in Alexandria via LeMat-Bulk.

```
data_BeP2Rh2
_chemical_formula_sum 'Be2 P4 Rh4'
_space_group_name_H-M_alt 'I 4/m m m'
_space_group_IT_number 139
_space_group_name_Hall '-I 4 2'
_cell_length_a 4.1085
_cell_length_b 4.1085
_cell_length_c 8.5745
_cell_angle_alpha 90.00
_cell_angle_beta 90.00
_cell_angle_gamma 90.00
loop_
_atom_site_label
_atom_site_type_symbol
_atom_site_fract_x
_atom_site_fract_y
_atom_site_fract_z
Be1 Be 0.0000 0.0000 0.0000
P1 P 0.0000 0.0000 0.3785
Rh1 Rh 0.0000 0.5000 0.2500
```

Properties
DFT formation energy (kcal/mol of atoms): -4.45

Record 7
First-principles (PBE) data for a geometry-optimized BePRh structure, as listed in Alexandria via LeMat-Bulk.

```
data_BePRh
_chemical_formula_sum 'Be4 P4 Rh4'
_space_group_name_H-M_alt 'F -4 3 m'
_space_group_IT_number 216
_space_group_name_Hall 'F -4 2 3'
_cell_length_a 5.3987
_cell_length_b 5.3987
_cell_length_c 5.3987
_cell_angle_alpha 90.00
_cell_angle_beta 90.00
_cell_angle_gamma 90.00
loop_
_atom_site_label
_atom_site_type_symbol
_atom_site_fract_x
_atom_site_fract_y
_atom_site_fract_z
Be1 Be 0.0000 0.0000 0.0000
P1 P 0.2500 0.2500 0.2500
Rh1 Rh 0.0000 0.0000 0.5000
```

Properties
DFT formation energy (kcal/mol of atoms): -6.34

Record 8
First-principles (PBE) data for a geometry-optimized BePRh3 structure, as listed in Alexandria via LeMat-Bulk.

```
data_BePRh3
_chemical_formula_sum 'Be1 P1 Rh3'
_space_group_name_H-M_alt 'P m -3 m'
_space_group_IT_number 221
_space_group_name_Hall '-P 4 2 3'
_cell_length_a 4.3129
_cell_length_b 4.3129
_cell_length_c 4.3129
_cell_angle_alpha 90.00
_cell_angle_beta 90.00
_cell_angle_gamma 90.00
loop_
_atom_site_label
_atom_site_type_symbol
_atom_site_fract_x
_atom_site_fract_y
_atom_site_fract_z
Be1 Be 0.0000 0.0000 0.0000
P1 P 0.5000 0.5000 0.5000
Rh1 Rh 0.0000 0.5000 0.5000
```

Properties
DFT formation energy (kcal/mol of atoms): 3.65

Record 9
First-principles (PBE) data for a geometry-optimized BePRh structure, as listed in Alexandria via LeMat-Bulk.

```
data_BePRh
_chemical_formula_sum 'Be1 P1 Rh1'
_space_group_name_H-M_alt 'P 3 m 1'
_space_group_IT_number 156
_space_group_name_Hall 'P 3 -2"'
_cell_length_a 2.8484
_cell_length_b 2.8484
_cell_length_c 5.3008
_cell_angle_alpha 90.00
_cell_angle_beta 90.00
_cell_angle_gamma 120.00
loop_
_atom_site_label
_atom_site_type_symbol
_atom_site_fract_x
_atom_site_fract_y
_atom_site_fract_z
Be1 Be 0.0000 0.0000 0.0000
P1 P 0.3333 0.6667 0.3324
Rh1 Rh 0.6667 0.3333 0.6621
```

Properties
DFT formation energy (kcal/mol of atoms): -3.92

Record 10
First-principles (PBE) data for a geometry-optimized BePRh structure, as listed in Alexandria via LeMat-Bulk.

```
data_BePRh
_chemical_formula_sum 'Be1 P1 Rh1'
_space_group_name_H-M_alt 'P -6 m 2'
_space_group_IT_number 187
_space_group_name_Hall 'P -6 2'
_cell_length_a 3.7522
_cell_length_b 3.7522
_cell_length_c 2.9725
_cell_angle_alpha 90.00
_cell_angle_beta 90.00
_cell_angle_gamma 120.00
loop_
_atom_site_label
_atom_site_type_symbol
_atom_site_fract_x
_atom_site_fract_y
_atom_site_fract_z
Be1 Be 0.0000 0.0000 0.0000
P1 P 0.3333 0.6667 0.0000
Rh1 Rh 0.6667 0.3333 0.5000
```

Properties
DFT formation energy (kcal/mol of atoms): -2.23

Record 11
First-principles (PBE) data for a geometry-optimized Sm3BeP2Rh9 structure, as listed in Alexandria via LeMat-Bulk.

```
data_Sm3BeP2Rh9
_chemical_formula_sum 'Sm3 Be1 P2 Rh9'
_space_group_name_H-M_alt 'P -3 m 1'
_space_group_IT_number 164
_space_group_name_Hall '-P 3 2"'
_cell_length_a 6.2307
_cell_length_b 6.2307
_cell_length_c 7.6008
_cell_angle_alpha 90.00
_cell_angle_beta 90.00
_cell_angle_gamma 120.00
loop_
_atom_site_label
_atom_site_type_symbol
_atom_site_fract_x
_atom_site_fract_y
_atom_site_fract_z
Sm1 Sm 0.0000 0.0000 0.0000
Sm2 Sm 0.3333 0.6667 0.6595
Be1 Be 0.0000 0.0000 0.5000
P1 P 0.3333 0.6667 0.1791
Rh1 Rh 0.0000 0.5000 0.0000
Rh2 Rh 0.1613 0.3225 0.3341
```

Properties
DFT formation energy (kcal/mol of atoms): -17.04

Record 12
First-principles (PBE) data for a geometry-optimized BeTcPRh structure, as listed in Alexandria via LeMat-Bulk.

```
data_BeTcPRh
_chemical_formula_sum 'Be4 Tc4 P4 Rh4'
_space_group_name_H-M_alt 'F -4 3 m'
_space_group_IT_number 216
_space_group_name_Hall 'F -4 2 3'
_cell_length_a 5.7285
_cell_length_b 5.7285
_cell_length_c 5.7285
_cell_angle_alpha 90.00
_cell_angle_beta 90.00
_cell_angle_gamma 90.00
loop_
_atom_site_label
_atom_site_type_symbol
_atom_site_fract_x
_atom_site_fract_y
_atom_site_fract_z
Be1 Be 0.0000 0.0000 0.0000
Tc1 Tc 0.2500 0.2500 0.2500
P1 P 0.0000 0.0000 0.5000
Rh1 Rh 0.2500 0.2500 0.7500
```

Properties
DFT formation energy (kcal/mol of atoms): -10.56

Q: Which value of DFT formation energy does entry 3 give?
A: -11.02 kcal/mol of atoms

Q: Among the records above, which one has the highest DFT formation energy?
A: BeP4Rh

Q: DFT formation energy of number 4 (BePRh)?
A: -9.73 kcal/mol of atoms

Copy entry 11 word for word.
First-principles (PBE) data for a geometry-optimized Sm3BeP2Rh9 structure, as listed in Alexandria via LeMat-Bulk.

```
data_Sm3BeP2Rh9
_chemical_formula_sum 'Sm3 Be1 P2 Rh9'
_space_group_name_H-M_alt 'P -3 m 1'
_space_group_IT_number 164
_space_group_name_Hall '-P 3 2"'
_cell_length_a 6.2307
_cell_length_b 6.2307
_cell_length_c 7.6008
_cell_angle_alpha 90.00
_cell_angle_beta 90.00
_cell_angle_gamma 120.00
loop_
_atom_site_label
_atom_site_type_symbol
_atom_site_fract_x
_atom_site_fract_y
_atom_site_fract_z
Sm1 Sm 0.0000 0.0000 0.0000
Sm2 Sm 0.3333 0.6667 0.6595
Be1 Be 0.0000 0.0000 0.5000
P1 P 0.3333 0.6667 0.1791
Rh1 Rh 0.0000 0.5000 0.0000
Rh2 Rh 0.1613 0.3225 0.3341
```

Properties
DFT formation energy (kcal/mol of atoms): -17.04